First-principles (GGA-PBE) data for an optimized crystal structure of CdCu2SnSeS3, as listed in OQMD.

Raw total energy: -3.93 eV per atom

Cell: 5.6888 5.6888 6.8520 Å, 114.27 114.27 90.08°
Last column: nearest neighbours and their distance in Å.
Fractional coordinates of all 8 atoms:
S  0.1171  0.5996  0.7184  2 Cu 2.32-2.33, 1 Sn 2.48, 1 Cd 2.58
S  0.5996  0.1171  0.7184  2 Cu 2.32-2.33, 1 Sn 2.48, 1 Cd 2.58
S  0.3948  0.3948  0.2771  2 Cu 2.31, 1 Sn 2.47, 1 Cd 2.57
Se  0.8847  0.8847  0.2819  2 Cu 2.46, 1 Sn 2.58, 1 Cd 2.66
Cd  0.0023  0.0023  0.9912  3 S 2.57-2.58, 1 Se 2.66
Cu  0.2673  0.7430  0.5096  3 S 2.31-2.33, 1 Se 2.46
Cu  0.7430  0.2673  0.5096  3 S 2.31-2.33, 1 Se 2.46
Sn  0.4912  0.4912  0.9939  3 S 2.47-2.48, 1 Se 2.58